# LaTb

LaTb after structural relaxation (GGA-PBE, the Open Quantum Materials Database).

a = 4.662 Å, b = 4.662 Å, c = 4.662 Å
α = 60.00°, β = 60.00°, γ = 60.00°
Positions (direct):
La (0.000, 0.000, 0.000)
Tb (0.500, 0.500, 0.500)

Results
Size of the total moment   0.025 μB/atom
E   -4.14 eV/atom
Formation energy from the elements   61.3 kJ per mole of atoms
Calculated volume   35.8 Å³ per atom